# KRh2Cl

An optimized crystal structure of KRh2Cl (PBE, the Alexandria database).

a = 6.638 Å, b = 6.638 Å, c = 2.733 Å
α = 90.00°, β = 90.00°, γ = 132.85°
Sites, in units of the cell vectors:
Rh: 0.500 0.500 0.000
Rh: 0.000 0.000 0.000
Cl: 0.500 0.000 0.500
K: 0.000 0.500 0.500

Properties
Spin magnetization, μB per atom: 0.5869

---

# KRh2Cl

An optimized crystal structure of KRh2Cl (PBE, the Alexandria database).

a = 4.748 Å, b = 4.748 Å, c = 4.748 Å
α = 60.00°, β = 60.00°, γ = 60.00°
Sites, in units of the cell vectors:
Rh: 0.250 0.250 0.250
Rh: 0.750 0.750 0.750
Cl: 0.000 0.000 0.000
K: 0.500 0.500 0.500

Properties
Spin magnetization, μB per atom: 0.5509

---

Number 1: uncorrected energy -3.7921 eV/atom, formation energy from raw total energies 0.62 eV per atom. Number 2: uncorrected energy -3.4413 eV/atom, formation energy from raw total energies 0.97 eV per atom.